Entry from Alexandria via LeMat-Bulk: an optimized crystal structure of KRb2Br3 (PBE).

Output
The energy relative to the elements, uncorrected is -1.746 eV/atom. The density of states at the Fermi level comes out at 0.000 states/eV/f.u. The space group is Immm (71).

Unit cell a=8.4566 b=8.4566 c=8.4566 alpha=146.52 beta=131.74 gamma=60.01
Last column: nearest neighbours and their distance in Å.
Fractional positions:
K  0.0000  0.0000  0.0000  6 Br 3.38-3.46
Rb  0.3320  0.3320  0.0000  6 Br 3.46-3.51
Rb  0.6680  0.6680  0.0000  6 Br 3.46-3.51
Br  0.1597  0.6597  0.5000  2 K 3.38, 4 Rb 3.46-3.51
Br  0.5000  0.0000  0.5000  2 K 3.46, 4 Rb 3.46
Br  0.8403  0.3403  0.5000  2 K 3.38, 4 Rb 3.46-3.51